[1]
NaVGaF6 | PBE+U | relaxed

Values from the calculation:
- total DFT energy (no corrections) (eV/atom) = -5.264
- size of the total moment (Bohr magnetons per cell) = 6.00
- theoretical density (g/cm3) = 3.50

a b c (Å): 5.394 5.394 9.694
angles (deg): 90.00 90.00 120.00
Site moments in Bohr magnetons follow the coordinates.
Fractional positions:
1 Na 0.000 0.000 0.000  0.00
2 Na 0.000 0.000 0.500  0.00
3 V 0.333 0.667 0.250  2.76
4 V 0.667 0.333 0.750  2.76
5 Ga 0.667 0.333 0.250  0.01
6 Ga 0.333 0.667 0.750  0.01
7 F 0.654 0.627 0.141  0.00
8 F 0.973 0.346 0.141  0.00
9 F 0.346 0.973 0.641  0.00
10 F 0.027 0.654 0.859  0.00
11 F 0.373 0.346 0.359  0.00
12 F 0.973 0.627 0.359  0.00
13 F 0.627 0.973 0.859  0.00
14 F 0.654 0.027 0.359  0.00
15 F 0.027 0.373 0.641  0.00
16 F 0.373 0.027 0.141  0.00
17 F 0.627 0.654 0.641  0.00
18 F 0.346 0.373 0.859  0.00

[2]
NaVGaF2 | PBE+U | relaxed

Values from the calculation:
- total DFT energy (no corrections) (eV/atom) = -4.214
- size of the total moment (Bohr magnetons per cell) = 2.81
- theoretical density (g/cm3) = 2.68

a b c (Å): 4.029 6.926 4.029
angles (deg): 90.00 90.00 90.00
Site moments in Bohr magnetons follow the coordinates.
Fractional positions:
1 Na 0.000 0.500 0.000  0.00
2 F 0.000 0.000 0.500  0.01
3 F 0.500 0.000 0.000  0.01
4 Ga 0.500 0.500 0.500  0.03
5 V 0.000 0.000 0.000  -2.61